1.
## LaOsAu2 (PBE)

Data for a relaxed LaOsAu2 crystal.

Properties
- V: 23.78 Å³/atom
- Space group: I-42d (122)
- DFT total energy: -5.468 eV/atom
- Total magnetic moment: 0.0 μB/f.u.
- Formation energy from the elements: 0.84 eV per formula unit

Unit cell a=9.9744 b=9.9744 c=9.9744 alpha=154.02 beta=154.02 gamma=37.08
Closest atoms and distances in Å follow each position.
Element x y z (fractional)
La: 0.0000 0.0000 0.0000  4 Au 3.01, 4 Os 3.17
La: 0.7500 0.2500 0.5000  4 Au 3.01, 4 Os 3.17
Os: 0.2500 0.7500 0.5000  4 Au 2.72
Os: 0.5000 0.5000 0.0000  4 Au 2.72
Au: 0.2072 0.6250 0.0822  2 Au 2.70, 2 Os 2.72, 2 La 3.01
Au: 0.3750 0.4572 0.5822  2 Au 2.70, 2 Os 2.72, 2 La 3.01
Au: 0.5428 0.1250 0.9178  2 Au 2.70, 2 Os 2.72, 2 La 3.01
Au: 0.8750 0.7928 0.4178  2 Au 2.70, 2 Os 2.72, 2 La 3.01

2.
## In2IrOs (PBE)

Data for a relaxed In2IrOs crystal.

Properties
- V: 17.44 Å³/atom
- Space group: P2/m (10)
- DFT total energy: -5.994 eV/atom
- Total magnetic moment: 0.0 μB/f.u.
- Formation energy from the elements: 1.59 eV per formula unit

Unit cell a=4.7527 b=3.0157 c=5.2480 alpha=90.00 beta=111.95 gamma=90.00
Closest atoms and distances in Å follow each position.
Element x y z (fractional)
In: 0.0000 0.0000 0.0000  2 Ir 2.81, 4 Os 2.81, 6 In 3.02-3.03
In: 0.0000 0.5000 0.5000  2 Os 2.81, 4 Ir 2.81, 6 In 3.02-3.03
Ir: 0.5000 0.0000 0.5000  6 In 2.81, 2 Ir 3.02, 4 Os 3.03
Os: 0.5000 0.5000 0.0000  6 In 2.81, 2 Os 3.02, 4 Ir 3.03

3.
## RbIrRu (PBE)

Data for a relaxed RbIrRu crystal.

Properties
- V: 28.26 Å³/atom
- Space group: P1 (1)
- DFT total energy: -5.835 eV/atom
- Total magnetic moment: 0.0 μB/f.u.
- Energy relative to the lowest polymorph listed for this composition: 33 meV per atom
- Formation energy from the elements: 1.60 eV per formula unit

Unit cell a=4.5683 b=4.5690 c=8.1994 alpha=89.86 beta=89.84 gamma=82.19
Closest atoms and distances in Å follow each position.
Element x y z (fractional)
Rb: 0.0000 0.0000 0.0000  5 Ir 3.52-3.68, 3 Ru 3.54-3.73
Rb: 0.4930 0.4938 0.6835  5 Ru 3.55-3.70, 3 Ir 3.57-3.75, 2 Rb 3.97
Ir: 0.4609 0.4609 0.2269  2 Ru 2.42-2.54, 2 Ir 2.43-2.54
Ir: 0.9640 0.5301 0.3383  2 Ir 2.43-2.54, 3 Ru 2.43-2.62
Ru: 0.0357 0.0357 0.4540  2 Ru 2.41-2.57, 2 Ir 2.43-2.56
Ru: 0.5270 0.9654 0.3398  2 Ru 2.41-2.57, 3 Ir 2.42-2.62

4.
## Mg2MnFe (PBE)

Data for a relaxed Mg2MnFe crystal.

Properties
- V: 16.01 Å³/atom
- Space group: Fm-3m (225)
- DFT total energy: -4.880 eV/atom
- Total magnetic moment: 5.7 μB/f.u.
- Energy relative to the lowest polymorph listed for this composition: 144 meV per atom
- Formation energy from the elements: 1.30 eV per formula unit

Unit cell a=4.4906 b=4.4906 c=4.4906 alpha=60.00 beta=60.00 gamma=60.00
Closest atoms and distances in Å follow each position.
Element x y z (fractional)
Mg: 0.2500 0.2500 0.2500  4 Fe 2.75, 4 Mn 2.75
Mg: 0.7500 0.7500 0.7500  4 Fe 2.75, 4 Mn 2.75
Mn: 0.0000 0.0000 0.0000  8 Mg 2.75
Fe: 0.5000 0.5000 0.5000  8 Mg 2.75

Q: Which formula does entry 2 have?
A: In2IrOs

Q: Among the records above, which one has the highest total magnetic moment?
A: Mg2MnFe

Q: Number 2 is which compound?
A: In2IrOs